# TmZrScIn

TmZrScIn after structural relaxation (PBE-GGA, Alexandria via LeMat-Bulk).

It has space group Pmmm (No. 47), with a = 4.551 Å, b = 4.570 Å, c = 4.599 Å, α = 90.00°, β = 90.00° and γ = 90.00°. The asymmetric unit holds Tm at (0.000, 0.000, 0.000), Zr at (0.500, 0.500, 0.000), Sc at (0.500, 0.000, 0.500) and In at (0.000, 0.500, 0.500).

The calculation puts the total energy at -5.743 eV/atom. The calculation puts the density of states at the Fermi level at 4.6 states/eV/cell.